An optimized crystal structure of TbMg2GaAu2. Source: the Alexandria database, functional PBE-GGA.

Cell lengths 4.384, 4.384, 9.270 Å; angles 103.68, 103.68, 90.00 degrees
Last column: magnetic moment on the atom in μB.
Positions (direct):
Ga (0.000, 0.000, 0.000)  0.13
Au (0.338, 0.338, 0.675)  0.01
Tb (0.500, 0.500, 0.000)  0.29
Mg (0.250, 0.750, 0.500)  0.00
Mg (0.750, 0.250, 0.500)  0.00
Au (0.662, 0.662, 0.325)  0.01

SG: I4/mmm
Fermi-level density of states, states/eV per cell: 4.67
VASP energy, eV/atom: -2.967

---

An optimized crystal structure of ScTi3Pd6. Source: the Alexandria database, functional PBE-GGA.

Cell lengths 4.022, 8.735, 9.086 Å; angles 92.36, 90.00, 90.00 degrees
Last column: magnetic moment on the atom in μB.
Positions (direct):
Ti (0.750, 0.656, 0.198)  0.57
Pd (0.250, 0.060, 0.907)  0.01
Ti (0.250, 0.753, 0.982)  0.20
Pd (0.750, 0.371, 0.304)  0.01
Pd (0.750, 0.538, 0.902)  0.01
Pd (0.750, 0.152, 0.706)  0.01
Pd (0.250, 0.848, 0.294)  0.01
Sc (0.250, 0.937, 0.622)  0.00
Ti (0.750, 0.247, 0.018)  0.20
Sc (0.750, 0.063, 0.378)  0.00
Ti (0.250, 0.344, 0.802)  0.57
Ti (0.250, 0.557, 0.398)  0.46
Pd (0.250, 0.161, 0.198)  0.01
Pd (0.750, 0.839, 0.802)  0.01
Pd (0.250, 0.252, 0.504)  0.01
Pd (0.750, 0.748, 0.496)  0.01
Ti (0.750, 0.443, 0.602)  0.46
Pd (0.750, 0.940, 0.093)  0.01
Pd (0.250, 0.462, 0.098)  0.01
Pd (0.250, 0.629, 0.696)  0.01

SG: P2_1/m
Fermi-level density of states, states/eV per cell: 15.72
VASP energy, eV/atom: -6.765

---

An optimized crystal structure of Pm3Ni5S12. Source: the Alexandria database, functional PBE-GGA.

Cell lengths 12.637, 12.637, 12.637 Å; angles 109.47, 109.47, 109.47 degrees
Positions (direct):
Pm (0.750, 0.375, 0.125)
S (0.479, 0.802, 0.886)
Pm (0.625, 0.250, 0.375)
S (0.677, 0.198, 0.585)
Ni (0.000, 0.000, 0.500)
S (0.021, 0.407, 0.823)
S (0.802, 0.479, 0.386)
S (0.614, 0.593, 0.915)
Ni (0.500, 0.000, 0.500)
S (0.614, 0.021, 0.198)
Ni (0.250, 0.375, 0.625)
S (0.093, 0.177, 0.479)
Pm (0.250, 0.125, 0.375)
S (0.415, 0.302, 0.323)
S (0.593, 0.979, 0.677)
S (0.479, 0.677, 0.093)
S (0.198, 0.521, 0.614)
Pm (0.125, 0.250, 0.875)
S (0.021, 0.614, 0.698)
S (0.698, 0.114, 0.021)
S (0.823, 0.907, 0.021)
S (0.677, 0.479, 0.593)
S (0.114, 0.698, 0.521)
S (0.823, 0.915, 0.302)
Ni (0.625, 0.750, 0.875)
Ni (0.500, 0.500, 0.500)
Ni (0.500, 0.500, 0.000)
S (0.585, 0.886, 0.407)
S (0.177, 0.093, 0.979)
S (0.886, 0.585, 0.907)
Ni (0.125, 0.750, 0.375)
Pm (0.250, 0.625, 0.875)
Ni (0.375, 0.125, 0.750)
S (0.085, 0.907, 0.386)
Pm (0.875, 0.125, 0.250)
S (0.521, 0.198, 0.114)
S (0.915, 0.093, 0.614)
S (0.521, 0.323, 0.907)
Ni (0.250, 0.875, 0.125)
Ni (0.750, 0.125, 0.875)
Pm (0.125, 0.875, 0.750)
S (0.323, 0.521, 0.407)
Ni (0.625, 0.875, 0.250)
S (0.198, 0.677, 0.085)
Pm (0.375, 0.750, 0.625)
S (0.085, 0.177, 0.198)
Ni (0.375, 0.250, 0.125)
S (0.886, 0.302, 0.479)
S (0.698, 0.585, 0.177)
Pm (0.375, 0.625, 0.250)
Ni (0.875, 0.250, 0.625)
Pm (0.750, 0.875, 0.625)
Ni (0.125, 0.375, 0.250)
Ni (0.750, 0.625, 0.375)
Ni (0.500, 0.000, 0.000)
S (0.407, 0.386, 0.585)
Ni (0.000, 0.500, 0.500)
S (0.593, 0.614, 0.415)
S (0.177, 0.085, 0.698)
S (0.979, 0.593, 0.177)
Ni (0.000, 0.000, 0.000)
S (0.585, 0.698, 0.677)
S (0.386, 0.407, 0.085)
S (0.386, 0.979, 0.802)
S (0.979, 0.386, 0.302)
S (0.302, 0.415, 0.823)
S (0.415, 0.114, 0.593)
S (0.093, 0.915, 0.114)
S (0.407, 0.021, 0.323)
Pm (0.625, 0.375, 0.750)
S (0.802, 0.323, 0.915)
Ni (0.875, 0.625, 0.750)
S (0.915, 0.823, 0.802)
S (0.907, 0.085, 0.886)
Pm (0.875, 0.750, 0.125)
S (0.323, 0.802, 0.415)
Ni (0.000, 0.500, 0.000)
S (0.114, 0.415, 0.093)
S (0.907, 0.823, 0.521)
S (0.302, 0.886, 0.979)

SG: Ia-3d
Fermi-level density of states, states/eV per cell: 70.58
VASP energy, eV/atom: -5.462
E_form (uncorrected), eV per atom: -0.83

---

An optimized crystal structure of P3PbI. Source: the Alexandria database, functional PBE-GGA.

Cell lengths 5.149, 5.149, 5.149 Å; angles 90.00, 90.00, 90.00 degrees
Positions (direct):
I (0.000, 0.000, 0.000)
Pb (0.500, 0.500, 0.500)
P (0.000, 0.500, 0.000)
P (0.500, 0.000, 0.000)
P (0.000, 0.000, 0.500)

SG: Pm-3m
Fermi-level density of states, states/eV per cell: 4.77
VASP energy, eV/atom: -3.061
ΔE to the lowest computed polymorph, eV/atom: 0.000
E_form (uncorrected), eV per atom: 1.24

---

An optimized crystal structure of LiTl2CdCl6. Source: the Alexandria database, functional PBE-GGA.

Cell lengths 7.146, 7.146, 7.405 Å; angles 61.15, 61.14, 60.00 degrees
Last column: magnetic moment on the atom in μB.
Positions (direct):
Cl (0.504, 0.639, 0.769)  0.04
Tl (0.520, 0.520, 0.440)  0.19
Cl (0.958, 0.580, 0.272)  0.07
Tl (0.048, 0.048, 0.857)  0.00
Cl (0.190, 0.958, 0.272)  0.07
Cl (0.639, 0.087, 0.769)  0.04
Cl (0.087, 0.504, 0.769)  0.04
Li (0.311, 0.311, 0.067)  0.00
Cl (0.580, 0.190, 0.272)  0.07
Cd (0.824, 0.824, 0.527)  0.00

SG: R3
Fermi-level density of states, states/eV per cell: 5.30
VASP energy, eV/atom: -2.924
E_form (uncorrected), eV per atom: -1.06

---

An optimized crystal structure of YTm2Rh3. Source: the Alexandria database, functional PBE-GGA.

Cell lengths 3.400, 3.400, 10.179 Å; angles 90.00, 90.00, 90.00 degrees
Positions (direct):
Tm (0.500, 0.500, 0.165)
Y (0.500, 0.500, 0.500)
Rh (0.000, 0.000, 0.328)
Tm (0.500, 0.500, 0.835)
Rh (0.000, 0.000, 0.000)
Rh (0.000, 0.000, 0.672)

SG: P4/mmm
Fermi-level density of states, states/eV per cell: 3.27
VASP energy, eV/atom: -7.169

---

An optimized crystal structure of CrAgSb2. Source: the Alexandria database, functional PBE-GGA.

Cell lengths 5.176, 5.176, 3.240 Å; angles 90.01, 90.01, 93.48 degrees
Last column: magnetic moment on the atom in μB.
Positions (direct):
Ag (0.500, 0.000, 0.500)  0.00
Cr (0.000, 0.500, 0.500)  3.57
Sb (0.500, 0.500, 0.000)  -0.07
Sb (0.000, 0.000, 0.000)  -0.07

SG: Cmmm
Fermi-level density of states, states/eV per cell: 1.74
VASP energy, eV/atom: -4.912
ΔE to the lowest computed polymorph, eV/atom: 0.062
E_form (uncorrected), eV per atom: 0.27

---

An optimized crystal structure of CsLaSc2. Source: the Alexandria database, functional PBE-GGA.

Cell lengths 5.801, 5.801, 12.224 Å; angles 76.27, 76.27, 90.00 degrees
Last column: magnetic moment on the atom in μB.
Positions (direct):
La (0.000, 0.000, 0.000)  -0.05
Sc (0.875, 0.126, 0.750)  -0.22
Cs (0.250, 0.750, 0.500)  0.00
Cs (0.500, 0.500, 0.000)  0.00
Sc (0.874, 0.625, 0.250)  -0.21
Sc (0.876, 0.125, 0.250)  -0.23
La (0.750, 0.250, 0.500)  -0.05
Sc (0.375, 0.124, 0.750)  -0.23

SG: I4_1/amd
Fermi-level density of states, states/eV per cell: 16.29
VASP energy, eV/atom: -3.521
ΔE to the lowest computed polymorph, eV/atom: 0.648

---

Total magnetization, respectively: 0.7; 1.5; 0.0; 0.0; 0.7; 0.0; 3.7; 0.8 μB/f.u..
Calculated volume, respectively: 167.9; 318.9; 1553.6; 136.5; 271.9; 117.6; 86.6; 387.5 Å³/cell.